This record from Alexandria describes a relaxed SiTcH3 crystal. The functional is PBE.

Structure (POSCAR):
```
SiTcH3
1.0
3.474 0.000 0.000
0.000 3.474 0.000
0.000 0.000 3.474
Si Tc H
1 1 3
direct
0.000 0.000 0.000
0.500 0.500 0.500
0.000 0.500 0.500
0.500 0.000 0.500
0.500 0.500 0.000
```

The total magnetization is 0.00 μB per formula unit. The space group is Pm-3m. The energy above the most stable polymorph in this dataset is 0.00 kJ/mol of atoms. As for the density of states at the Fermi level: 1.7 states/eV/f.u.

This record from Alexandria describes a relaxed MnIn2Au crystal. The functional is PBE.

Structure (POSCAR):
```
MnIn2Au
1.0
0.000 3.456 3.456
3.456 0.000 3.456
3.456 3.456 0.000
Mn In Au
1 2 1
direct
0.000 0.000 0.000
0.250 0.250 0.250
0.500 0.500 0.500
0.750 0.750 0.750
```

The total magnetization is 4.17 μB per formula unit. The space group is F-43m. The energy relative to the elements comes out at 0.1686 eV per atom. The energy above the most stable polymorph in this dataset is 13.04 kJ/mol of atoms. As for the density of states at the Fermi level: 2.3 states/eV/f.u.

This record from Alexandria describes a relaxed YTeRhN2 crystal. The functional is PBE.

Structure (POSCAR):
```
YTeRhN2
1.0
4.107 0.000 0.000
0.000 4.107 0.000
0.000 0.000 5.253
Y Te Rh N
1 1 1 2
direct
0.000 0.000 0.000
0.500 0.500 0.000
0.500 0.500 0.500
0.000 0.500 0.500
0.500 0.000 0.500
```

The total magnetization is 0.00 μB per formula unit. The space group is P4/mmm. The energy above the most stable polymorph in this dataset is 0.00 kJ/mol of atoms. As for the density of states at the Fermi level: 4.7 states/eV/f.u.

This record from Alexandria describes a relaxed Sr2SnBiSe4 crystal. The functional is PBE.

Structure (POSCAR):
```
Sr2SnBiSe4
1.0
7.302 0.000 0.000
0.000 4.650 0.000
-2.775 0.000 7.141
Sr Sn Bi Se
2 1 1 4
direct
0.000 0.000 0.000
0.000 0.500 0.500
0.500 0.000 0.500
0.500 0.500 0.000
0.259 0.500 0.248
0.263 0.000 0.756
0.737 0.000 0.244
0.741 0.500 0.752
```

The total magnetization is 0.00 μB per formula unit. The space group is P2/m. As for the density of states at the Fermi level: 1.6 states/eV/f.u.

This record from Alexandria describes a relaxed Zr3MoCl crystal. The functional is PBE.

Structure (POSCAR):
```
Zr3MoCl
1.0
5.125 0.000 0.000
0.000 5.125 0.000
0.000 0.000 5.125
Zr Mo Cl
3 1 1
direct
0.000 0.000 0.500
0.000 0.500 0.000
0.500 0.000 0.000
0.000 0.000 0.000
0.500 0.500 0.500
```

The total magnetization is 0.00 μB per formula unit. The space group is Pm-3m. The energy above the most stable polymorph in this dataset is 40.12 kJ/mol of atoms. As for the density of states at the Fermi level: 7.5 states/eV/f.u.

This record from Alexandria describes a relaxed Ge2Bi2Au crystal. The functional is PBE.

Structure (POSCAR):
```
Ge2Bi2Au
1.0
-1.860 1.860 8.940
1.860 -1.860 8.940
1.860 1.860 -8.940
Ge Bi Au
2 2 1
direct
0.250 0.750 0.500
0.750 0.250 0.500
0.097 0.097 0.000
0.903 0.903 0.000
0.500 0.500 0.000
```

The total magnetization is 0.00 μB per formula unit. The space group is I4/mmm. The energy relative to the elements comes out at 0.1816 eV per atom. The energy above the most stable polymorph in this dataset is 11.32 kJ/mol of atoms. As for the density of states at the Fermi level: 2.4 states/eV/f.u.

| no. | calculated total energy (eV per formula unit) |
| --- | --- |
| 1 | -23.3 |
| 2 | -17.2 |
| 3 | -30.9 |
| 4 | -33.9 |
| 5 | -34.7 |
| 6 | -19.4 |